[1]
DFT (PBE) results for an optimized crystal structure of SrGdSn.

a = 5.4210 Å, b = 5.4210 Å, c = 5.4210 Å
α = 60.00°, β = 60.00°, γ = 60.00°
Closest atoms and distances in Å follow each position.
Positions (direct):
1 Gd 0.0000 0.0000 0.0000  4 Sn 3.32
2 Sn 0.2500 0.2500 0.2500  4 Gd 3.32, 4 Sr 3.32
3 Sr 0.5000 0.5000 0.5000  4 Sn 3.32

Summary:
E above lowest polymorph	0	meV per atom
formation energy from the elements	-0.41	eV per atom

---

[2]
DFT (PBE) results for an optimized crystal structure of Sm6Ho2ErTm.

a = 9.5622 Å, b = 8.8601 Å, c = 8.8601 Å
α = 117.82°, β = 93.83°, γ = 93.83°
Closest atoms and distances in Å follow each position.
Positions (direct):
1 Sm 0.9455 0.8797 0.2398  7 Sm 3.42-3.76, 1 Ho 3.47, 2 Er 3.65-3.83
2 Ho 0.4549 0.7997 0.6994  5 Sm 3.26-3.47, 2 Er 3.40-3.42, 1 Tm 3.52
3 Tm 0.2500 0.4104 0.5896  6 Sm 3.43-3.54, 2 Ho 3.52
4 Sm 0.3814 0.5074 0.2908  4 Sm 3.24-3.61, 3 Ho 3.26-3.44, 2 Tm 3.43-3.54
5 Er 0.7500 0.0260 0.9740  4 Ho 3.40-3.42, 4 Sm 3.57-3.65
6 Sm 0.4455 0.2398 0.8797  7 Sm 3.42-3.76, 1 Ho 3.47, 2 Er 3.65-3.83
7 Ho 0.0451 0.3006 0.2003  5 Sm 3.26-3.47, 2 Er 3.40-3.42, 1 Tm 3.52
8 Sm 0.8814 0.2908 0.5074  4 Sm 3.24-3.61, 3 Ho 3.26-3.44, 2 Tm 3.43-3.54
9 Sm 0.8132 0.4339 0.9876  2 Sm 3.24-3.59, 1 Ho 3.43, 1 Tm 3.45, 1 Er 3.57
10 Ho 0.9549 0.6994 0.7997  5 Sm 3.26-3.47, 2 Er 3.40-3.42, 1 Tm 3.52
11 Er 0.2500 0.9740 0.0260  4 Ho 3.40-3.42, 4 Sm 3.57-3.65
12 Sm 0.6186 0.4926 0.7092  4 Sm 3.24-3.61, 3 Ho 3.26-3.44, 2 Tm 3.43-3.54
13 Sm 0.3132 0.9876 0.4339  2 Sm 3.24-3.59, 1 Ho 3.43, 1 Tm 3.45, 1 Er 3.57
14 Sm 0.1868 0.5661 0.0124  2 Sm 3.24-3.59, 1 Ho 3.43, 1 Tm 3.45, 1 Er 3.57
15 Sm 0.0545 0.1203 0.7602  7 Sm 3.42-3.76, 1 Ho 3.47, 2 Er 3.65-3.83
16 Sm 0.1186 0.7092 0.4926  4 Sm 3.24-3.61, 3 Ho 3.26-3.44, 2 Tm 3.43-3.54
17 Sm 0.5545 0.7602 0.1203  7 Sm 3.42-3.76, 1 Ho 3.47, 2 Er 3.65-3.83
18 Tm 0.7500 0.5896 0.4104  6 Sm 3.43-3.54, 2 Ho 3.52
19 Sm 0.6868 0.0124 0.5661  2 Sm 3.24-3.59, 1 Ho 3.43, 1 Tm 3.45, 1 Er 3.57
20 Ho 0.5451 0.2003 0.3006  5 Sm 3.26-3.47, 2 Er 3.40-3.42, 1 Tm 3.52

Summary:
formation energy from the elements	0.12	eV per atom

---

[3]
DFT (PBE) results for an optimized crystal structure of Pm5Y4Sc2.

a = 3.5260 Å, b = 8.7865 Å, c = 11.4318 Å
α = 86.21°, β = 90.00°, γ = 90.00°
Closest atoms and distances in Å follow each position.
Positions (direct):
1 Sc 0.0000 0.0571 0.3683  1 Sc 3.11, 2 Pm 3.30, 6 Y 3.40-3.42
2 Pm 0.0000 0.1920 0.8350  1 Sc 3.30, 4 Pm 3.40-3.59, 4 Y 3.56-3.69
3 Pm 0.0000 0.5720 0.6988  1 Sc 3.30, 4 Pm 3.46-3.59, 4 Y 3.59-3.69
4 Pm 0.0000 0.5000 0.0000  6 Pm 3.40-3.53, 4 Y 3.66
5 Y 0.5000 0.7325 0.4465  4 Sc 3.40-3.42, 2 Y 3.53, 6 Pm 3.59-3.69
6 Y 0.5000 0.2675 0.5535  4 Sc 3.40-3.42, 2 Y 3.53, 6 Pm 3.59-3.69
7 Y 0.5000 0.1593 0.1193  2 Sc 3.42, 2 Y 3.53, 8 Pm 3.56-3.70
8 Sc 0.0000 0.9429 0.6317  1 Sc 3.11, 2 Pm 3.30, 6 Y 3.40-3.42
9 Y 0.5000 0.8407 0.8807  2 Sc 3.42, 2 Y 3.53, 8 Pm 3.56-3.70
10 Pm 0.0000 0.8080 0.1650  1 Sc 3.30, 4 Pm 3.40-3.59, 4 Y 3.56-3.69
11 Pm 0.0000 0.4280 0.3012  1 Sc 3.30, 4 Pm 3.46-3.59, 4 Y 3.59-3.69

Summary:
E above lowest polymorph	0	meV per atom
formation energy from the elements	0.08	eV per atom

---

The lowest formation energy from the elements belongs to which entry? SrGdSn